# 1
Crystalline LaCoTc3 at its relaxed geometry, computed with PBE.

Offset from the most stable computed form   8.42 eV per formula unit
E_tot   -30.60 eV per cell
Energy of formation from the pure elements   12.53 eV/f.u.

a b c (Å): 4.6820 4.6820 4.6820
angles (deg): 90.00 90.00 90.00
Last column: nearest neighbours and their distance in Å.
Space group Pm-3m (No. 221)
Inequivalent atoms, fractional coordinates:
La 0.0000 0.0000 0.0000 x1  6 Tc 2.34
Co 0.5000 0.5000 0.5000 x1  12 Tc 3.31
Tc 0.0000 0.0000 0.5000 x3  2 La 2.34



# 2
Crystalline Na2FeCl4 at its relaxed geometry, computed with PBE.

Offset from the most stable computed form   0.57 eV per formula unit
ΔE_f (raw)   -1221 meV per atom
E_tot   -54.07 eV per cell

a b c (Å): 4.9306 4.9306 13.9965
angles (deg): 90.00 90.00 90.00
Last column: nearest neighbours and their distance in Å.
Space group I4/mmm (No. 139)
Inequivalent atoms, fractional coordinates:
Na 0.0000 0.0000 0.1346 x4  1 Cl 2.70
Fe 0.0000 0.0000 0.5000 x2  6 Cl 2.42-2.47
Cl 0.0000 0.0000 0.3273 x4  1 Fe 2.42, 1 Na 2.70
Cl 0.0000 0.5000 0.0000 x4  2 Fe 2.47



# 3
Crystalline Pm3PrNd7 at its relaxed geometry, computed with PBE.

Offset from the most stable computed form   0.00 eV per formula unit
E_tot   -50.99 eV per cell
Energy of formation from the pure elements   1.42 eV/f.u.

a b c (Å): 11.1714 11.1714 3.6579
angles (deg): 90.00 90.00 120.00
Last column: nearest neighbours and their distance in Å.
Space group P-6m2 (No. 187)
Inequivalent atoms, fractional coordinates:
Pm 0.1777 0.3555 0.0000 x3  7 Nd 3.44-3.72, 2 Pr 3.52, 2 Pm 3.66
Pr 0.3333 0.6667 0.5000 x1  6 Pm 3.52, 2 Pr 3.66
Nd 0.0000 0.0000 0.0000 x1  3 Pm 3.44, 8 Nd 3.51-3.66
Nd 0.3093 0.1546 0.5000 x3  8 Nd 3.51-3.66, 4 Pm 3.72
Nd 0.5370 0.0740 0.0000 x3  2 Pm 3.57, 6 Nd 3.59-3.66



# 4
Crystalline Ta2AlAs at its relaxed geometry, computed with PBE.

Offset from the most stable computed form   0.34 eV per formula unit
E_tot   -65.24 eV per cell
Energy of formation from the pure elements   -0.52 eV/f.u.

a b c (Å): 3.3736 4.7704 8.4593
angles (deg): 90.00 90.00 90.00
Last column: nearest neighbours and their distance in Å.
Space group Immm (No. 71)
Inequivalent atoms, fractional coordinates:
Ta 0.0000 0.0000 0.2401 x4  2 As 2.64, 2 Al 2.77, 4 Ta 2.93
Al 0.0000 0.5000 0.0000 x2  4 Ta 2.77, 4 As 2.92
As 0.0000 0.5000 0.5000 x2  4 Ta 2.64, 4 Al 2.92



# 5
Crystalline Ba2MgAl at its relaxed geometry, computed with PBE.

Offset from the most stable computed form   0.27 eV per formula unit
E_tot   -9.38 eV per cell
Energy of formation from the pure elements   -0.20 eV/f.u.

a b c (Å): 4.1927 4.1927 8.7716
angles (deg): 90.00 90.00 90.00
Last column: nearest neighbours and their distance in Å.
Space group P4/mmm (No. 123)
Inequivalent atoms, fractional coordinates:
Ba 0.0000 0.0000 0.2308 x2  4 Al 3.59, 4 Mg 3.79
Mg 0.5000 0.5000 0.5000 x1  8 Ba 3.79, 4 Mg 4.19
Al 0.5000 0.5000 0.0000 x1  8 Ba 3.59



Q: Which of these has the highest E_tot?
A: Ba2MgAl



Copy entry 5 word for word.
Crystalline Ba2MgAl at its relaxed geometry, computed with PBE.

Offset from the most stable computed form   0.27 eV per formula unit
E_tot   -9.38 eV per cell
Energy of formation from the pure elements   -0.20 eV/f.u.

a b c (Å): 4.1927 4.1927 8.7716
angles (deg): 90.00 90.00 90.00
Last column: nearest neighbours and their distance in Å.
Space group P4/mmm (No. 123)
Inequivalent atoms, fractional coordinates:
Ba 0.0000 0.0000 0.2308 x2  4 Al 3.59, 4 Mg 3.79
Mg 0.5000 0.5000 0.5000 x1  8 Ba 3.79, 4 Mg 4.19
Al 0.5000 0.5000 0.0000 x1  8 Ba 3.59



Please write out number 1 again, unchanged.
Crystalline LaCoTc3 at its relaxed geometry, computed with PBE.

Offset from the most stable computed form   8.42 eV per formula unit
E_tot   -30.60 eV per cell
Energy of formation from the pure elements   12.53 eV/f.u.

a b c (Å): 4.6820 4.6820 4.6820
angles (deg): 90.00 90.00 90.00
Last column: nearest neighbours and their distance in Å.
Space group Pm-3m (No. 221)
Inequivalent atoms, fractional coordinates:
La 0.0000 0.0000 0.0000 x1  6 Tc 2.34
Co 0.5000 0.5000 0.5000 x1  12 Tc 3.31
Tc 0.0000 0.0000 0.5000 x3  2 La 2.34